(1)
Entry from Alexandria via LeMat-Bulk: a geometry-optimized Mg2VGa6 structure (PBE).

```
9
Lattice="4.730 -2.730 0.000 4.730 2.730 0.000 -0.007 0.000 6.432" Properties=species:S:1:pos:R:3 pbc="T T T"
Mg 1.577 0.000 0.473
Mg 7.877 0.000 5.959
V 4.730 0.000 0.000
Ga 3.930 1.382 2.065
Ga 3.129 0.000 4.364
Ga 5.523 1.382 4.367
Ga 3.930 -1.382 2.065
Ga 6.325 0.000 2.067
Ga 5.523 -1.382 4.367
```

## Properties
**ΔH_f (0 K)**: -0.0343 eV per atom
**Total magnetic moment**: 1.61 μB per formula unit
**Space-group type**: C2/m

---

(2)
Entry from Alexandria via LeMat-Bulk: a geometry-optimized Mg2VGa structure (PBE).

```
4
Lattice="1.451 0.838 10.230 -1.451 0.838 10.230 0.000 -1.675 10.230" Properties=species:S:1:pos:R:3 pbc="T T T"
Mg 0.000 0.000 2.723
Mg 0.000 0.000 27.967
V 0.000 0.000 0.000
Ga 0.000 0.000 15.345
```

## Properties
**ΔH_f (0 K)**: 0.4355 eV per atom
**Total magnetic moment**: 1.33 μB per formula unit
**Space-group type**: R-3m

---

(3)
Entry from Alexandria via LeMat-Bulk: a geometry-optimized Mg14VGa structure (PBE).

```
16
Lattice="10.222 0.000 0.000 0.000 3.109 5.435 0.000 -3.109 5.435" Properties=species:S:1:pos:R:3 pbc="T T T"
Mg 0.000 0.000 0.000
Mg 0.000 -1.555 2.733
Mg 0.000 0.000 5.434
Mg 0.000 1.555 2.733
Mg 2.586 0.000 1.805
Mg 2.597 0.000 7.222
Mg 2.681 -1.543 4.554
Mg 2.681 1.543 4.554
Mg 5.111 -1.543 8.123
Mg 5.111 1.543 8.123
Mg 7.542 -1.543 4.554
Mg 7.542 1.543 4.554
Mg 7.625 0.000 7.222
Mg 7.636 0.000 1.805
V 5.111 0.000 5.448
Ga 5.111 0.000 0.002
```

## Properties
**ΔH_f (0 K)**: 0.0504 eV per atom
**Total magnetic moment**: 3.34 μB per formula unit
**Space-group type**: Amm2
**Energy above the lowest structure with this stoichiometry**: 0 meV/atom

---

Q: Which formula does entry 2 have?
A: Mg2VGa

---

Q: The lowest total magnetic moment belongs to which entry?
A: Mg2VGa

---

Q: Which of these has the highest total magnetic moment?
A: Mg14VGa

---

Q: What is the total magnetic moment in the third record?
A: 3.34 μB per formula unit